Record 1
Density functional theory data (PBE) for a relaxed Ce6PuIn2O crystal.

It has space group Fm-3m (No. 225), with a = 9.9467 Å, b = 9.9467 Å, c = 9.9467 Å, α = 90.00°, β = 90.00° and γ = 90.00°. The asymmetric unit holds Ce at (0.0000, 0.0000, 0.2463), Pu at (0.0000, 0.0000, 0.0000), In at (0.2500, 0.2500, 0.2500) and O at (0.0000, 0.0000, 0.5000).

As for the formation energy without anion corrections: -0.90 eV per atom.

***

Record 2
Density functional theory data (PBE) for a relaxed Mg2PdRu crystal.

It has space group I-42d (No. 122), with a = 7.0191 Å, b = 7.0191 Å, c = 5.6476 Å, α = 90.00°, β = 90.00° and γ = 90.00°. The asymmetric unit holds Mg at (0.2422, 0.2500, 0.1250), Pd at (0.0000, 0.0000, 0.0000) and Ru at (0.0000, 0.0000, 0.5000).

The formation energy comes out at 19.20 kJ/mol of atoms.

***

no.,DOS(E_F) (states/eV per atom)
1,1.458
2,0.900